Pm2SbMo: optimized geometry, PBE.

Cell and atoms, written as extended XYZ:
```
4
Lattice="-2.323 -2.341 4.077 -4.044 -3.242 -0.794 0.588 -5.157 0.747" Properties=species:S:1:pos:R:3 pbc="T T T"
Sb -2.889 -5.370 2.015
Mo 0.000 0.000 0.000
Pm -1.445 -2.685 1.007
Pm -4.334 -8.055 3.022
```

ΔE to the lowest computed polymorph (eV per formula unit): 0.35
V (A^3/atom): 25.49
ΔE_f (raw) (eV/atom): -0.01
Magnetization (μB per formula unit): 0.00

=====

YRhN: optimized geometry, PBE.

Cell and atoms, written as extended XYZ:
```
12
Lattice="3.238 0.000 0.000 0.000 5.496 0.000 0.000 0.000 10.881" Properties=species:S:1:pos:R:3 pbc="T T T"
Y 2.428 1.957 3.692
Y 2.428 4.705 1.749
Y 0.809 0.791 9.132
Y 0.809 3.539 7.189
N 0.809 3.576 3.135
N 2.428 1.920 7.746
N 2.428 4.668 8.576
N 0.809 0.828 2.305
Rh 2.428 0.624 6.274
Rh 2.428 3.372 10.048
Rh 0.809 2.124 0.833
Rh 0.809 4.873 4.607
```

V (A^3/atom): 16.14
ΔE_f (raw) (eV/atom): -0.67
Magnetization (μB per formula unit): 0.00

=====

HgH2Pt3: optimized geometry, PBE.

Cell and atoms, written as extended XYZ:
```
12
Lattice="-1.307 -2.544 0.461 4.948 -2.524 -8.991 3.058 -0.702 4.792" Properties=species:S:1:pos:R:3 pbc="T T T"
Hg 3.312 -4.564 -6.684
Hg 3.387 -1.206 2.946
H 6.091 -4.043 -5.034
H 0.608 -1.727 1.297
H 1.982 -3.267 -3.300
H 4.717 -2.503 -0.437
Pt 4.747 -2.834 -2.177
Pt 4.798 -4.882 -4.231
Pt 3.420 -3.269 0.761
Pt 3.279 -2.501 -4.499
Pt 1.901 -0.887 0.494
Pt 1.952 -2.935 -1.560
```

V (A^3/atom): 13.02
Electronic total energy (eV per cell): -49.51
Magnetization (μB per formula unit): 0.00

=====

K2CoOs: optimized geometry, PBE.

Cell and atoms, written as extended XYZ:
```
4
Lattice="11.429 0.000 0.000 11.083 2.789 0.000 11.083 1.373 2.428" Properties=species:S:1:pos:R:3 pbc="T T T"
Co 25.196 3.122 1.821
K 0.025 0.003 0.002
K 16.772 2.078 1.212
Os 8.399 1.041 0.607
```

ΔE to the lowest computed polymorph (eV per formula unit): 2.19
V (A^3/atom): 19.34
Formation enthalpy at 0 K (eV per atom): 1.297
Magnetization (μB per formula unit): 1.11

=====

RbAcSb2: optimized geometry, PBE.

Cell and atoms, written as extended XYZ:
```
4
Lattice="-4.235 -1.136 -0.889 1.433 -3.637 -2.177 -0.300 -4.145 6.726" Properties=species:S:1:pos:R:3 pbc="T T T"
Sb -0.244 -3.371 5.470
Sb -0.056 -0.774 1.256
Ac -1.401 -2.387 -1.533
Rb -1.551 -4.459 1.830
```

ΔE to the lowest computed polymorph (eV per formula unit): 0.00
V (A^3/atom): 39.57
ΔE_f (raw) (eV/atom): -0.71
Magnetization (μB per formula unit): 0.00

=====

LiB2H: optimized geometry, PBE.

Cell and atoms, written as extended XYZ:
```
16
Lattice="-1.214 0.973 2.764 3.469 -2.810 2.512 5.540 6.657 -0.204" Properties=species:S:1:pos:R:3 pbc="T T T"
Li 2.372 1.990 1.107
Li 3.387 4.480 2.491
Li 6.876 3.913 2.261
Li 2.352 -0.254 3.849
B 1.149 -0.931 0.832
B 5.654 0.993 1.986
B 0.055 0.472 0.767
B 4.481 6.989 1.945
B 4.559 2.396 1.921
B 3.445 2.255 3.303
B 5.046 1.480 3.368
B 0.541 -0.444 2.214
H 2.426 1.561 3.095
H 5.021 3.541 1.726
H 6.930 3.485 4.249
H 3.986 -1.192 3.084
```

ΔE to the lowest computed polymorph (eV per formula unit): 0.00
V (A^3/atom): 8.79
Magnetization (μB per formula unit): 0.00

=====

LaInAgGe: optimized geometry, PBE.

Cell and atoms, written as extended XYZ:
```
4
Lattice="-0.294 -3.046 4.129 4.059 -0.510 3.111 -0.097 2.057 4.709" Properties=species:S:1:pos:R:3 pbc="T T T"
Ge 0.917 -0.375 2.987
In 1.834 -0.750 5.975
Ag 2.751 -1.124 8.962
La 0.000 0.000 0.000
```

V (A^3/atom): 24.00
Formation enthalpy at 0 K (eV per atom): -0.331
Magnetization (μB per formula unit): 0.00

=====

Te2MoOsN: optimized geometry, PBE.

Cell and atoms, written as extended XYZ:
```
5
Lattice="-2.000 0.836 -4.962 4.644 -1.750 -2.167 -1.312 -3.423 -0.048" Properties=species:S:1:pos:R:3 pbc="T T T"
Mo 0.666 -2.169 -3.588
Te 2.322 -0.875 -1.083
Te -1.000 0.418 -2.481
Os 0.000 0.000 0.000
N -0.656 -1.712 -0.024
```

ΔE to the lowest computed polymorph (eV per formula unit): 0.00
V (A^3/atom): 21.50
ΔE_f (raw) (eV/atom): 0.78
Magnetization (μB per formula unit): 3.28

=====

| no. | ρ (Mg/m³) |
| --- | --- |
| 1 | 8.3 |
| 2 | 7.1 |
| 3 | 16.7 |
| 4 | 7.0 |
| 5 | 5.8 |
| 6 | 1.4 |
| 7 | 7.5 |
| 8 | 8.6 |